A plane-wave DFT calculation with GGA-PBE was carried out for crystalline CdWSe2 at its relaxed geometry.

Values from the calculation:
* uncorrected formation energy: 0.14 eV per atom
* space group: No. 160

abc: 10.5708 10.5708 10.5708
angles: 16.96 16.96 16.96
Closest atoms and distances in Å follow each position.
Positions (direct):
Se  0.2249  0.2249  0.2249  3 W 2.51
Se  0.0142  0.0142  0.0142  3 Cd 3.02, 6 Se 3.12
Cd  0.7586  0.7586  0.7586  3 W 3.01, 3 Se 3.02, 6 Cd 3.12
W  0.5023  0.5023  0.5023  3 Se 2.51

A plane-wave DFT calculation with GGA-PBE was carried out for crystalline TlGaTeSe4 at its relaxed geometry.

Values from the calculation:
* uncorrected formation energy: -0.24 eV per atom
* space group: No. 11

abc: 6.8979 7.3545 8.8428
angles: 90.00 107.51 90.00
Closest atoms and distances in Å follow each position.
Positions (direct):
Se  0.0039  0.4942  0.2791  1 Ga 2.43
Se  0.5280  0.2500  0.4051  1 Ga 2.45, 1 Te 2.60
Se  0.9961  0.5058  0.7209  1 Ga 2.43
Se  0.4720  0.7500  0.5949  1 Ga 2.45, 1 Te 2.60
Se  0.4817  0.7500  0.1806  1 Ga 2.40
Se  0.5183  0.2500  0.8194  1 Ga 2.40
Se  0.0039  0.0058  0.2791  1 Ga 2.43
Se  0.9961  0.9942  0.7209  1 Ga 2.43
Te  0.2296  0.2500  0.5284  4 Se 2.60-2.91
Te  0.7704  0.7500  0.4716  4 Se 2.60-2.91
Tl  0.2113  0.2500  0.0520  6 Se 3.23-3.42
Tl  0.7887  0.7500  0.9480  6 Se 3.23-3.42
Ga  0.2377  0.7500  0.3252  4 Se 2.40-2.45
Ga  0.7623  0.2500  0.6748  4 Se 2.40-2.45

A plane-wave DFT calculation with GGA-PBE was carried out for crystalline CuTeSN2 at its relaxed geometry.

Values from the calculation:
* uncorrected formation energy: 1.47 eV per atom
* space group: No. 123

abc: 3.8573 5.5681 3.8573
angles: 90.00 90.00 90.00
Closest atoms and distances in Å follow each position.
Positions (direct):
Cu  0.5000  0.5000  0.5000  4 S 2.73
S  0.0000  0.5000  0.0000  4 Cu 2.73, 2 Te 2.78
Te  0.0000  0.0000  0.0000  4 N 1.93
N  0.0000  0.0000  0.5000  2 Te 1.93
N  0.5000  0.0000  0.0000  2 Te 1.93

A plane-wave DFT calculation with GGA-PBE was carried out for crystalline RbHfTl2Cl8 at its relaxed geometry.

Values from the calculation:
* uncorrected formation energy: -1.43 eV per atom
* space group: No. 2

abc: 6.9351 6.6329 9.1374
angles: 89.61 89.88 89.38
Closest atoms and distances in Å follow each position.
Positions (direct):
Cl  0.3733  0.2814  0.5003  2 Tl 2.85
Cl  0.6267  0.7186  0.4997  2 Tl 2.85
Cl  0.1404  0.7821  0.8088  1 Hf 2.47
Cl  0.1365  0.7789  0.1927  1 Hf 2.47
Cl  0.8596  0.2179  0.1912  1 Hf 2.47
Cl  0.8635  0.2211  0.8073  1 Hf 2.47
Cl  0.2936  0.2067  0.0012  1 Hf 2.47
Cl  0.7064  0.7933  0.9988  1 Hf 2.47
Rb  0.0000  0.0000  0.5000  6 Cl 3.21-3.31
Hf  0.0000  0.0000  0.0000  6 Cl 2.47
Tl  0.5006  0.5020  0.2504  4 Cl 2.85-3.15
Tl  0.4994  0.4980  0.7496  4 Cl 2.85-3.15

A plane-wave DFT calculation with GGA-PBE was carried out for crystalline Ba2Ag3HgPb4 at its relaxed geometry.

Values from the calculation:
* space group: No. 115

abc: 5.0371 5.0371 11.9682
angles: 90.00 90.00 90.00
Closest atoms and distances in Å follow each position.
Positions (direct):
Ag  0.0000  0.5000  0.1301  5 Pb 2.82-2.96
Ag  0.0000  0.0000  0.5000  4 Pb 2.99
Ag  0.5000  0.0000  0.8699  5 Pb 2.82-2.96
Ba  0.5000  0.0000  0.2568  8 Pb 3.79-3.97, 6 Ag 3.85-3.87, 2 Hg 3.85
Ba  0.0000  0.5000  0.7432  8 Pb 3.79-3.97, 2 Hg 3.85, 6 Ag 3.85-3.87
Hg  0.5000  0.5000  0.5000  4 Pb 2.99
Pb  0.5000  0.0000  0.6339  3 Ag 2.82-2.99, 2 Hg 2.99
Pb  0.5000  0.5000  0.0000  4 Ag 2.96
Pb  0.0000  0.0000  0.0000  4 Ag 2.96
Pb  0.0000  0.5000  0.3661  3 Ag 2.82-2.99, 2 Hg 2.99

no.,final energy (eV/atom)
1,-5.0644
2,-3.4476
3,-4.1311
4,-3.9622
5,-3.0304